No. 1
4
Lattice="8.331 0.066 0.000 6.461 5.260 0.000 -7.396 -2.663 2.760" Properties=species:S:1:pos:R:3 comment="TlSe3 (PBE-GGA, optimized geometry)" formation_energy_uncorrected_mev_per_atom=84.8 pbc="T T T"
Se 7.396 2.663 0.000
Se 3.230 2.630 1.380
Se 4.166 0.033 1.380
Tl 0.000 0.000 0.000

No. 2
12
Lattice="7.264 0.000 0.000 0.000 7.264 0.000 0.000 0.000 7.264" Properties=species:S:1:pos:R:3 comment="TlSe2 (PBE-GGA, optimized geometry)" formation_energy_uncorrected_mev_per_atom=-176.8 pbc="T T T"
Se 4.305 4.305 2.959
Se 2.959 0.673 0.673
Se 0.673 6.591 4.305
Se 2.959 2.959 4.305
Se 0.673 4.305 0.673
Se 6.591 0.673 2.959
Se 6.591 2.959 6.591
Se 4.305 6.591 6.591
Tl 3.632 3.632 0.000
Tl 0.000 0.000 0.000
Tl 0.000 3.632 3.632
Tl 3.632 0.000 3.632

No. 3
12
Lattice="8.285 0.000 0.000 0.000 8.285 0.000 0.000 0.000 8.285" Properties=species:S:1:pos:R:3 comment="TlSe (PBE-GGA, optimized geometry)" formation_energy_uncorrected_mev_per_atom=-104.3 pbc="T T T"
Tl 6.214 4.142 0.000
Tl 0.000 6.214 4.142
Tl 2.071 4.142 0.000
Tl 4.142 0.000 2.071
Tl 4.142 0.000 6.214
Tl 0.000 2.071 4.142
Se 0.000 4.142 2.071
Se 4.142 2.071 0.000
Se 0.000 4.142 6.214
Se 4.142 6.214 0.000
Se 2.071 0.000 4.142
Se 6.214 0.000 4.142

No. 4
6
Lattice="1.498 6.145 0.032 -1.498 6.145 0.032 0.000 3.183 9.275" Properties=species:S:1:pos:R:3 comment="TlSe (PBE-GGA, optimized geometry)" formation_energy_uncorrected_mev_per_atom=-117.4 pbc="T T T"
Se 0.000 8.280 2.876
Se 0.000 14.551 9.140
Se 0.000 11.372 5.988
Tl 0.000 5.153 2.855
Tl 0.000 5.408 9.006
Tl 0.000 2.261 5.873

No. 5
4
Lattice="5.081 0.000 0.000 2.541 4.401 0.000 2.541 1.467 4.149" Properties=species:S:1:pos:R:3 comment="TlSe3 (PBE-GGA, optimized geometry)" formation_energy_uncorrected_mev_per_atom=353.8 pbc="T T T"
Se 5.081 2.934 2.074
Se 7.622 4.401 3.112
Se 0.000 0.000 0.000
Tl 2.541 1.467 1.037

No. 6
6
Lattice="-2.904 -4.031 -3.675 4.293 -4.009 1.917 -3.386 2.796 4.347" Properties=species:S:1:pos:R:3 comment="TlSe2 (PBE-GGA, optimized geometry)" formation_energy_uncorrected_mev_per_atom=-160.6 pbc="T T T"
Tl 1.042 -6.030 -1.319
Tl 0.347 -2.010 -0.440
Se -1.765 -4.326 -1.426
Se 0.233 -4.629 1.541
Se -2.229 -0.614 1.048
Se -0.231 -0.918 4.015

No. 7
7
Lattice="4.187 0.000 0.000 0.000 7.327 -2.980 0.000 -0.670 7.881" Properties=species:S:1:pos:R:3 comment="Tl4Se3 (PBE-GGA, optimized geometry)" formation_energy_uncorrected_mev_per_atom=-306.3 pbc="T T T"
Tl 2.094 1.083 5.500
Tl 0.000 4.848 3.570
Tl 0.000 1.809 1.332
Tl 2.094 5.574 -0.598
Se 0.000 -0.335 3.941
Se 2.094 0.000 0.000
Se 0.000 3.664 -1.490

No. 8
7
Lattice="-1.065 -2.212 3.381 1.947 -3.600 0.840 9.171 4.502 8.417" Properties=species:S:1:pos:R:3 comment="Tl3Se4 (PBE-GGA, optimized geometry)" formation_energy_uncorrected_mev_per_atom=-141.3 pbc="T T T"
Se 4.336 -3.306 6.948
Se 1.753 -3.029 3.734
Se 8.300 1.720 8.904
Se 5.717 1.997 5.690
Tl 7.244 -1.196 9.245
Tl 2.809 -0.113 3.393
Tl 0.000 0.000 0.000

No. 9
9
Lattice="-2.371 -0.972 -3.363 4.998 -6.057 -4.430 -4.986 -6.946 2.864" Properties=species:S:1:pos:R:3 comment="Tl5Se4 (PBE-GGA, optimized geometry)" formation_energy_uncorrected_mev_per_atom=-213.1 pbc="T T T"
Tl -1.666 -3.569 -0.452
Tl 0.000 0.000 0.000
Tl -3.436 -8.504 -0.436
Tl -0.692 -10.407 -4.478
Tl 1.078 -5.472 -4.494
Se -1.022 -3.430 -3.603
Se -3.085 -5.739 1.175
Se 0.727 -8.236 -6.105
Se -1.335 -10.545 -1.327

No. 10
10
Lattice="6.401 0.000 0.000 -3.201 6.476 -0.295 0.000 -2.472 7.238" Properties=species:S:1:pos:R:3 comment="Tl2Se3 (PBE-GGA, optimized geometry)" formation_energy_uncorrected_mev_per_atom=-212.4 pbc="T T T"
Tl -1.150 4.952 -0.056
Tl 4.350 -0.948 6.998
Tl 1.151 3.716 3.568
Tl 2.049 0.287 3.375
Se 1.080 2.253 0.317
Se 1.007 -1.853 5.428
Se 2.119 1.751 6.626
Se 4.282 2.986 3.006
Se 2.193 5.856 1.515
Se -1.082 1.018 3.937

No. 11
6
Lattice="6.526 -0.050 0.000 -4.663 4.566 0.000 0.000 0.000 6.030" Properties=species:S:1:pos:R:3 comment="TlSe2 (PBE-GGA, optimized geometry)" formation_energy_uncorrected_mev_per_atom=-117.5 pbc="T T T"
Se 6.293 0.046 0.000
Se -0.102 2.684 0.000
Se -0.521 2.857 3.015
Se 4.272 0.880 3.015
Tl 3.200 1.322 0.000
Tl -3.823 4.219 3.015

No. 12
9
Lattice="1.633 -2.196 6.516 4.074 5.480 -1.824 -6.774 2.010 -0.133" Properties=species:S:1:pos:R:3 comment="TlSe8 (PBE-GGA, optimized geometry)" formation_energy_uncorrected_mev_per_atom=144.6 pbc="T T T"
Se -1.741 4.829 -1.262
Se 2.476 0.456 3.635
Se -0.959 2.660 -0.695
Se 1.642 2.770 3.030
Se 3.230 2.828 1.058
Se -1.826 -0.066 2.267
Se -3.315 -0.120 4.116
Se -2.710 2.523 1.529
Tl 0.000 0.000 0.000